A relaxed structure of NaMgInHg2, computed with PBE.

## Properties
N(E_F)	0.4526	states/eV per atom
total DFT energy (no corrections)	-1.36	eV per atom

Unit cell a=5.1179 b=5.1179 c=5.8000 alpha=90.00 beta=90.00 gamma=120.00
Space group P3m1 (No. 156)
One atom of each set of equivalent atoms:
Na 0.0000 0.0000 0.0000 x1
Mg 0.3333 0.6667 0.6449 x1
In 0.6667 0.3333 0.3134 x1
Hg 0.3333 0.6667 0.1581 x1
Hg 0.6667 0.3333 0.8037 x1